# 1
! AlCdSiI2 GGA-PBE optimized geometry; values from VASP
&SYSTEM
  ibrav = 0, nat = 5, ntyp = 4
/
ATOMIC_SPECIES
I 126.90 I.upf
Si 28.09 Si.upf
Al 26.98 Al.upf
Cd 112.41 Cd.upf
ATOMIC_POSITIONS crystal
I 0.000 0.000 0.500
I 0.500 0.000 0.000
Si 0.000 0.500 0.000
Al 0.500 0.500 0.500
Cd 0.000 0.000 0.000
CELL_PARAMETERS angstrom
6.172 0.000 0.000
0.000 5.009 0.000
0.000 0.000 6.172
! ΔE_f (raw), eV/atom: 0.574
! Volume, Å³/cell: 190.8
! M_tot, μB/f.u.: 0.99

# 2
! BaCrCoGe2 GGA-PBE optimized geometry; values from VASP
&SYSTEM
  ibrav = 0, nat = 5, ntyp = 4
/
ATOMIC_SPECIES
Cr 52.00 Cr.upf
Ge 72.64 Ge.upf
Co 58.93 Co.upf
Ba 137.33 Ba.upf
ATOMIC_POSITIONS crystal
Cr 0.500 0.500 0.500
Ge 0.000 0.000 0.500
Ge 0.500 0.000 0.000
Co 0.000 0.500 0.000
Ba 0.000 0.000 0.000
CELL_PARAMETERS angstrom
5.723 0.000 0.000
0.000 4.814 0.000
0.000 0.000 5.723
! Volume, Å³/cell: 157.7
! Energy relative to the elements, eV/atom: 1.9281
! M_tot, μB/f.u.: 4.34

Please write out number 2 again, unchanged.
! BaCrCoGe2 GGA-PBE optimized geometry; values from VASP
&SYSTEM
  ibrav = 0, nat = 5, ntyp = 4
/
ATOMIC_SPECIES
Cr 52.00 Cr.upf
Ge 72.64 Ge.upf
Co 58.93 Co.upf
Ba 137.33 Ba.upf
ATOMIC_POSITIONS crystal
Cr 0.500 0.500 0.500
Ge 0.000 0.000 0.500
Ge 0.500 0.000 0.000
Co 0.000 0.500 0.000
Ba 0.000 0.000 0.000
CELL_PARAMETERS angstrom
5.723 0.000 0.000
0.000 4.814 0.000
0.000 0.000 5.723
! Volume, Å³/cell: 157.7
! Energy relative to the elements, eV/atom: 1.9281
! M_tot, μB/f.u.: 4.34